[1]
MgSi2NiHg (PBE-GGA, relaxed); energy = -2.629 eV/atom
1.0
4.880 0.000 0.000
0.000 4.880 0.000
0.000 0.000 4.565
Mg Si Ni Hg
1 2 1 1
direct
0.000 0.000 0.000 Mg
0.000 0.500 0.000 Si
0.500 0.000 0.000 Si
0.000 0.000 0.500 Ni
0.500 0.500 0.500 Hg


[2]
TaZnSe (PBE-GGA, relaxed); energy = -4.556 eV/atom; ΔE to the lowest computed polymorph = 1145 meV/atom
1.0
0.000 3.133 3.133
3.133 0.000 3.133
3.133 3.133 0.000
Ta Zn Se
1 1 1
direct
0.000 0.000 0.000 Ta
0.250 0.250 0.250 Zn
0.500 0.500 0.500 Se


[3]
GaHPdRu2 (PBE-GGA, relaxed); energy = -6.024 eV/atom
1.0
3.907 0.000 0.000
0.000 3.907 0.000
0.000 0.000 3.958
Ga H Pd Ru
1 1 1 2
direct
0.000 0.000 0.000 Ga
0.500 0.500 0.500 H
0.500 0.500 0.000 Pd
0.000 0.500 0.500 Ru
0.500 0.000 0.500 Ru


[4]
KTa2Ru (PBE-GGA, relaxed); energy = -7.340 eV/atom; ΔE to the lowest computed polymorph = 693 meV/atom
1.0
0.000 3.319 3.319
3.319 0.000 3.319
3.319 3.319 0.000
K Ta Ru
1 2 1
direct
0.000 0.000 0.000 K
0.250 0.250 0.250 Ta
0.750 0.750 0.750 Ta
0.500 0.500 0.500 Ru


[5]
MgVAg (PBE-GGA, relaxed); energy = -4.350 eV/atom; ΔE to the lowest computed polymorph = 125 meV/atom
1.0
3.032 0.000 0.000
0.001 4.973 0.000
0.319 1.569 6.853
Mg V Ag
2 2 2
direct
0.000 0.000 0.000 Mg
0.008 0.347 0.326 Mg
0.087 0.751 0.620 V
0.476 0.830 0.371 V
0.523 0.516 0.984 Ag
0.532 0.237 0.662 Ag


[6]
Pm5Pr2SmHo (PBE-GGA, relaxed); energy = -4.466 eV/atom
1.0
-4.384 4.384 8.126
4.384 -4.384 8.126
4.384 4.384 -8.126
Pm Pr Sm Ho
10 4 2 2
direct
0.000 0.000 0.000 Pm
0.072 0.572 0.926 Pm
0.146 0.072 0.500 Pm
0.354 0.854 0.926 Pm
0.428 0.354 0.500 Pm
0.500 0.500 0.000 Pm
0.572 0.646 0.500 Pm
0.646 0.146 0.074 Pm
0.854 0.928 0.500 Pm
0.928 0.428 0.074 Pm
0.120 0.380 0.500 Pr
0.380 0.880 0.261 Pr
0.620 0.120 0.739 Pr
0.880 0.620 0.500 Pr
0.250 0.250 0.000 Sm
0.750 0.750 0.000 Sm
0.250 0.750 0.500 Ho
0.750 0.250 0.500 Ho


[7]
DyMg2Cu2Ge2 (PBE-GGA, relaxed); energy = -3.994 eV/atom
1.0
2.130 1.230 8.086
-2.130 1.230 8.086
0.000 -2.460 8.086
Dy Mg Cu Ge
1 2 2 2
direct
0.000 0.000 0.000 Dy
0.134 0.134 0.134 Mg
0.866 0.866 0.866 Mg
0.414 0.414 0.414 Cu
0.586 0.586 0.586 Cu
0.257 0.257 0.257 Ge
0.743 0.743 0.743 Ge


[8]
Ca4Tl15Hg (PBE-GGA, relaxed); energy = -2.365 eV/atom
1.0
4.857 0.000 0.000
0.000 4.857 0.000
0.000 0.000 24.589
Ca Tl Hg
4 15 1
direct
0.000 0.000 0.098 Ca
0.000 0.000 0.295 Ca
0.000 0.000 0.705 Ca
0.000 0.000 0.902 Ca
0.000 0.500 0.000 Tl
0.000 0.500 0.197 Tl
0.000 0.500 0.399 Tl
0.000 0.500 0.601 Tl
0.000 0.500 0.803 Tl
0.500 0.000 0.000 Tl
0.500 0.000 0.197 Tl
0.500 0.000 0.399 Tl
0.500 0.000 0.601 Tl
0.500 0.000 0.803 Tl
0.500 0.500 0.097 Tl
0.500 0.500 0.295 Tl
0.500 0.500 0.500 Tl
0.500 0.500 0.705 Tl
0.500 0.500 0.903 Tl
0.000 0.000 0.500 Hg


[9]
Zn2CoSi (PBE-GGA, relaxed); energy = -3.848 eV/atom
1.0
2.564 0.000 0.000
0.000 3.756 0.000
0.000 0.000 6.123
Zn Co Si
2 1 1
direct
0.000 0.000 0.000 Zn
0.500 0.500 0.248 Zn
0.000 0.500 0.603 Co
0.500 0.000 0.616 Si


[10]
CrCdPt2 (PBE-GGA, relaxed); energy = -5.767 eV/atom
1.0
1.453 0.839 8.988
-1.453 0.839 8.988
0.000 -1.677 8.988
Cr Cd Pt
1 1 2
direct
0.000 0.000 0.000 Cr
0.500 0.500 0.500 Cd
0.258 0.258 0.258 Pt
0.742 0.742 0.742 Pt


[11]
NpCu3Cl6O2 (PBE-GGA, relaxed); energy = -4.730 eV/atom
1.0
5.503 -3.296 0.000
5.503 3.296 0.000
-0.661 0.000 7.347
Np Cu Cl O
1 3 6 2
direct
0.000 0.000 0.000 Np
0.000 0.500 0.500 Cu
0.500 0.000 0.500 Cu
0.500 0.500 0.500 Cu
0.101 0.101 0.699 Cl
0.117 0.603 0.847 Cl
0.397 0.883 0.153 Cl
0.603 0.117 0.847 Cl
0.883 0.397 0.153 Cl
0.899 0.899 0.301 Cl
0.334 0.334 0.477 O
0.666 0.666 0.523 O


[12]
DyGeH (PBE-GGA, relaxed); energy = -4.705 eV/atom; ΔE to the lowest computed polymorph = 223 meV/atom
1.0
3.580 0.000 0.000
-1.790 3.100 0.000
0.000 0.000 4.686
Dy Ge H
1 1 1
direct
0.000 0.000 0.000 Dy
0.333 0.667 0.500 Ge
0.667 0.333 0.000 H


[13]
La12Sm6Th (PBE-GGA, relaxed); energy = -4.881 eV/atom
1.0
6.814 3.934 4.324
-6.814 3.934 4.324
0.000 -7.868 4.324
La Sm Th
12 6 1
direct
0.000 0.261 0.739 La
0.000 0.739 0.261 La
0.167 0.583 0.583 La
0.261 0.000 0.739 La
0.261 0.739 0.000 La
0.417 0.417 0.833 La
0.417 0.833 0.417 La
0.583 0.167 0.583 La
0.583 0.583 0.167 La
0.739 0.000 0.261 La
0.739 0.261 0.000 La
0.833 0.417 0.417 La
0.141 0.141 0.403 Sm
0.141 0.403 0.141 Sm
0.403 0.141 0.141 Sm
0.597 0.859 0.859 Sm
0.859 0.597 0.859 Sm
0.859 0.859 0.597 Sm
0.000 0.000 0.000 Th


[14]
BaPdRu2 (PBE-GGA, relaxed); energy = -5.808 eV/atom; ΔE to the lowest computed polymorph = 0 meV/atom
1.0
-2.357 2.357 9.418
2.357 -2.357 9.418
2.357 2.357 -9.418
Ba Pd Ru
2 2 4
direct
0.375 0.625 0.750 Ba
0.625 0.375 0.250 Ba
0.125 0.875 0.250 Pd
0.875 0.125 0.750 Pd
0.000 0.000 0.000 Ru
0.000 0.000 0.500 Ru
0.000 0.500 0.000 Ru
0.500 0.000 0.500 Ru


[15]
YH6PdRu (PBE-GGA, relaxed); energy = -4.768 eV/atom
1.0
4.696 0.000 0.000
-2.348 4.067 0.000
0.000 0.000 4.224
Y H Pd Ru
1 6 1 1
direct
0.000 0.000 0.000 Y
0.513 0.026 0.219 H
0.513 0.026 0.781 H
0.513 0.487 0.219 H
0.513 0.487 0.781 H
0.974 0.487 0.219 H
0.974 0.487 0.781 H
0.333 0.667 0.500 Pd
0.667 0.333 0.500 Ru


[16]
Sb2IrCSe (PBE-GGA, relaxed); energy = -4.804 eV/atom
1.0
4.689 0.000 0.000
0.000 4.689 0.000
0.000 0.000 4.140
Sb Ir C Se
2 1 1 1
direct
0.000 0.500 0.000 Sb
0.500 0.000 0.000 Sb
0.000 0.000 0.500 Ir
0.500 0.500 0.000 C
0.500 0.500 0.500 Se


[17]
Ba6MgCd2 (PBE-GGA, relaxed); energy = -1.784 eV/atom
1.0
-5.838 5.977 6.192
5.838 -5.977 6.192
5.838 5.977 -6.192
Ba Mg Cd
12 2 4
direct
0.034 0.827 0.207 Ba
0.248 0.552 0.304 Ba
0.248 0.945 0.696 Ba
0.268 0.321 0.588 Ba
0.268 0.679 0.947 Ba
0.379 0.173 0.207 Ba
0.621 0.827 0.793 Ba
0.732 0.321 0.053 Ba
0.732 0.679 0.412 Ba
0.752 0.055 0.304 Ba
0.752 0.448 0.696 Ba
0.966 0.173 0.793 Ba
0.000 0.500 0.500 Mg
0.500 0.000 0.500 Mg
0.000 0.146 0.146 Cd
0.000 0.854 0.854 Cd
0.381 0.381 0.000 Cd
0.619 0.619 0.000 Cd


[18]
K5CdAg4 (PBE-GGA, relaxed); energy = -1.768 eV/atom
1.0
10.947 -2.333 0.000
10.947 2.333 0.000
-3.057 0.000 7.851
K Cd Ag
5 1 4
direct
0.000 0.000 0.000 K
0.298 0.298 0.711 K
0.363 0.363 0.235 K
0.637 0.637 0.765 K
0.702 0.702 0.289 K
0.000 0.000 0.500 Cd
0.120 0.120 0.431 Ag
0.461 0.461 0.643 Ag
0.539 0.539 0.357 Ag
0.880 0.880 0.569 Ag


[19]
KTiPbF6 (PBE-GGA, relaxed); energy = -5.551 eV/atom
1.0
6.232 0.000 0.000
-3.116 5.397 0.000
0.000 0.000 9.703
K Ti Pb F
2 2 2 12
direct
0.000 0.000 0.000 K
0.000 0.000 0.500 K
0.333 0.667 0.250 Ti
0.667 0.333 0.750 Ti
0.333 0.667 0.750 Pb
0.667 0.333 0.250 Pb
0.057 0.398 0.141 F
0.057 0.659 0.359 F
0.341 0.398 0.359 F
0.341 0.943 0.141 F
0.398 0.057 0.641 F
0.398 0.341 0.859 F
0.602 0.659 0.141 F
0.602 0.943 0.359 F
0.659 0.057 0.859 F
0.659 0.602 0.641 F
0.943 0.341 0.641 F
0.943 0.602 0.859 F


[20]
Cu2PbAu2 (PBE-GGA, relaxed); energy = -3.625 eV/atom; ΔE to the lowest computed polymorph = 31 meV/atom
1.0
-1.919 1.919 6.564
1.919 -1.919 6.564
1.919 1.919 -6.564
Cu Pb Au
2 1 2
direct
0.250 0.750 0.500 Cu
0.750 0.250 0.500 Cu
0.000 0.000 0.000 Pb
0.387 0.387 0.000 Au
0.613 0.613 0.000 Au